{"formula": "La2Sm2Ho7", "functional": "PBE-GGA", "state": "optimized geometry", "mass_density_g_cm3": 7.80, "e_tot_ev_per_cell": -49.7, "m_tot_mub_per_fu": 0.000, "n_ef_per_ev_cell": 18.35, "ef_kj_per_mol_fu": 158.8, "vol_a3_per_cell": 368.81, "cell": [[7.460, 2.757, 1.626], [3.964, 9.192, -3.026], [-0.398, -2.757, 7.625]], "species": ["La", "La", "Sm", "Sm", "Ho", "Ho", "Ho", "Ho", "Ho", "Ho", "Ho"], "fractional_positions": [[0.213, 0.687, 0.787], [0.787, 0.313, 0.213], [0.710, 0.000, 0.710], [0.290, 0.000, 0.290], [0.234, 0.679, 0.245], [0.755, 0.679, 0.766], [0.657, 0.073, 0.343], [0.000, 0.500, 0.000], [0.343, 0.927, 0.657], [0.766, 0.321, 0.755], [0.245, 0.321, 0.234]]}

=====

{"formula": "Si2As", "functional": "PBE-GGA", "state": "optimized geometry", "formation_energy_uncorrected_mev_per_atom": 159, "mass_density_g_cm3": 3.42, "e_tot_ev_per_cell": -30.0, "m_tot_mub_per_fu": 0.000, "n_ef_per_ev_cell": 1.00, "vol_a3_per_cell": 127.20, "cell": [[3.499, -3.427, 2.851], [3.954, -3.959, -0.897], [6.178, 2.675, 0.371]], "species": ["Si", "Si", "Si", "Si", "As", "As"], "fractional_positions": [[0.314, 0.314, 0.378], [0.781, 0.781, 0.889], [0.219, 0.219, 0.111], [0.686, 0.686, 0.622], [0.978, 0.978, 0.197], [0.022, 0.022, 0.803]]}

=====

{"formula": "CdCoRe2Te", "functional": "PBE-GGA", "state": "optimized geometry", "formation_energy_uncorrected_mev_per_atom": 2575, "mass_density_g_cm3": 10.06, "e_tot_ev_per_cell": -23.2, "m_tot_mub_per_fu": 2.854, "n_ef_per_ev_cell": 11.46, "vol_a3_per_cell": 110.83, "cell": [[-3.427, 0.839, 3.448], [-2.494, -3.438, -1.642], [2.301, -3.124, 3.047]], "species": ["Re", "Re", "Te", "Co", "Cd"], "fractional_positions": [[0.000, 0.000, 0.500], [0.500, 0.000, 0.000], [0.500, 0.500, 0.500], [0.000, 0.500, 0.000], [0.000, 0.000, 0.000]]}

=====

{"formula": "MgSb2Au2", "functional": "PBE-GGA", "state": "optimized geometry", "formation_energy_uncorrected_mev_per_atom": 13, "mass_density_g_cm3": 8.83, "e_tot_ev_per_cell": -16.3, "m_tot_mub_per_fu": 0.000, "n_ef_per_ev_cell": 1.94, "vol_a3_per_cell": 124.52, "cell": [[-2.268, 3.050, -2.127], [-3.401, -2.708, -0.257], [-5.099, 2.473, 4.524]], "species": ["Sb", "Sb", "Mg", "Au", "Au"], "fractional_positions": [[0.750, 0.250, 0.500], [0.250, 0.750, 0.500], [0.000, 0.000, 0.000], [0.400, 0.400, 0.200], [0.600, 0.600, 0.800]]}

=====

{"formula": "NaMgHgSe2", "functional": "PBE-GGA", "state": "optimized geometry", "formation_energy_uncorrected_mev_per_atom": -705, "mass_density_g_cm3": 3.94, "e_tot_ev_per_cell": -27.4, "m_tot_mub_per_fu": 0.000, "n_ef_per_ev_cell": 5.73, "vol_a3_per_cell": 342.08, "cell": [[-4.422, 5.917, 1.062], [-0.808, -1.815, 6.747], [5.269, 3.762, 0.980]], "species": ["Na", "Na", "Mg", "Mg", "Hg", "Hg", "Se", "Se", "Se", "Se"], "fractional_positions": [[0.422, 0.500, 0.750], [0.578, 0.500, 0.250], [0.501, 0.000, 0.250], [0.499, 0.000, 0.750], [0.000, 0.000, 0.000], [0.000, 0.000, 0.500], [0.679, 0.781, 0.977], [0.679, 0.219, 0.523], [0.321, 0.781, 0.477], [0.321, 0.219, 0.023]]}